# 1
A relaxed structure of TbErTmPu, computed with PBE.

Lattice parameters (Å, degrees): 7.8446 7.8446 7.8446 90.00 90.00 90.00
Last column: nearest neighbours and their distance in Å.
Space group F-43m (No. 216)
Symmetry-distinct sites (fractional):
Tb  0.0000  0.0000  0.0000  4 Er 3.40, 4 Tm 3.40
Er  0.2500  0.2500  0.2500  4 Pu 3.40, 4 Tb 3.40
Tm  0.2500  0.2500  0.7500  4 Tb 3.40, 4 Pu 3.40
Pu  0.0000  0.0000  0.5000  4 Tm 3.40, 4 Er 3.40

- formation energy (meV per atom) = 183.3

***

# 2
A relaxed structure of Tm3Si2Au4, computed with PBE.

Lattice parameters (Å, degrees): 10.4665 4.4242 8.5830 90.00 113.76 90.00
Last column: nearest neighbours and their distance in Å.
Space group C2/m (No. 12)
Symmetry-distinct sites (fractional):
Tm  0.0000  0.0000  0.0000  8 Au 2.99-3.31, 4 Si 3.23
Tm  0.1522  0.5000  0.6807  4 Si 3.03-3.20, 8 Au 3.05-3.19
Si  0.1295  0.5000  0.2974  3 Au 2.46-2.52
Au  0.0863  0.0000  0.4074  2 Si 2.52
Au  0.2077  0.5000  0.0622  1 Si 2.46, 2 Au 2.75

- electronic total energy (eV per atom) = -4.936

***

# 3
A relaxed structure of CaSm2IrO8, computed with PBE.

Lattice parameters (Å, degrees): 5.1085 7.0246 5.1157 90.00 90.64 90.00
Last column: nearest neighbours and their distance in Å.
Space group P2/m (No. 10)
Symmetry-distinct sites (fractional):
Ca  0.0000  0.0000  0.0000  2 O 2.22
Sm  0.5000  0.2454  0.5000  6 O 2.21-2.47
Ir  0.0000  0.5000  0.0000  6 O 1.90
O  0.1819  0.3040  0.8207  1 Ir 1.90
O  0.2626  0.5000  0.2655  1 Ir 1.90
O  0.3073  0.0000  0.3099  2 Sm 2.21, 1 Ca 2.22

- electronic total energy (eV per atom) = -7.039

***

# 4
A relaxed structure of EuScPtRh, computed with PBE.

Lattice parameters (Å, degrees): 6.8111 6.8111 6.8111 90.00 90.00 90.00
Last column: nearest neighbours and their distance in Å.
Space group F-43m (No. 216)
Symmetry-distinct sites (fractional):
Eu  0.0000  0.0000  0.0000  4 Rh 2.95, 4 Pt 2.95
Sc  0.0000  0.0000  0.5000  4 Pt 2.95, 4 Rh 2.95
Pt  0.2500  0.2500  0.7500  4 Eu 2.95, 4 Sc 2.95
Rh  0.2500  0.2500  0.2500  4 Sc 2.95, 4 Eu 2.95

- formation energy (meV per atom) = -756.4

***

# 5
A relaxed structure of LaNd5ErTm2, computed with PBE.

Lattice parameters (Å, degrees): 5.7129 20.3221 10.6633 90.00 90.00 90.00
Last column: nearest neighbours and their distance in Å.
Space group Cmc2_1 (No. 36)
Symmetry-distinct sites (fractional):
La  0.0000  0.0851  0.0000  5 Nd 3.09-3.36
Nd  0.0000  0.0191  0.7111  2 La 3.09-3.36
Nd  0.0000  0.1164  0.4286  6 Nd 3.60-3.94, 4 Tm 3.61-3.64, 1 Er 3.77
Nd  0.0000  0.2028  0.7432  4 Nd 3.45-3.79, 3 Er 3.54-3.82, 3 Tm 3.57-3.73, 1 La 3.64
Nd  0.0000  0.2207  0.1350  1 La 3.11, 1 Tm 3.35, 2 Nd 3.45
Nd  0.0000  0.4832  0.4300  2 La 3.26, 3 Tm 3.45-3.64
Er  0.0000  0.3019  0.4386  2 Tm 3.42-3.66, 8 Nd 3.54-3.82, 2 La 3.72
Tm  0.0000  0.3855  0.1350  9 Nd 3.35-3.72, 1 Er 3.66
Tm  0.0000  0.3857  0.7168  1 Er 3.42, 7 Nd 3.50-3.73, 2 La 3.72

- formation energy (meV per atom) = 152.7

***

# 6
A relaxed structure of Mn2V, computed with PBE.

Lattice parameters (Å, degrees): 6.5757 6.5757 6.5757 90.00 90.00 90.00
Last column: nearest neighbours and their distance in Å.
Space group Fd-3m (No. 227, origin choice 2)
Symmetry-distinct sites (fractional):
Mn  0.0000  0.0000  0.0000  6 Mn 2.32
V  0.1250  0.1250  0.6250  12 Mn 2.73, 4 V 2.85

- formation energy (meV per atom) = -73.0

***

# 7
A relaxed structure of LiDyMgGa, computed with PBE.

Lattice parameters (Å, degrees): 6.8848 6.8848 6.8848 90.00 90.00 90.00
Last column: nearest neighbours and their distance in Å.
Space group F-43m (No. 216)
Symmetry-distinct sites (fractional):
Li  0.0000  0.0000  0.0000  4 Dy 2.98, 4 Mg 2.98
Dy  0.2500  0.2500  0.2500  4 Ga 2.98, 4 Li 2.98
Mg  0.2500  0.2500  0.7500  4 Li 2.98, 4 Ga 2.98
Ga  0.0000  0.0000  0.5000  4 Dy 2.98, 4 Mg 2.98

- formation energy (meV per atom) = -317.0

***

# 8
A relaxed structure of Hf2AsPd2, computed with PBE.

Lattice parameters (Å, degrees): 7.4413 7.4413 3.4678 90.00 90.00 90.00
Last column: nearest neighbours and their distance in Å.
Space group P4/mbm (No. 127)
Symmetry-distinct sites (fractional):
Hf  0.1671  0.3329  0.0000  6 Pd 2.76-2.82, 2 As 2.77
As  0.0000  0.0000  0.0000  4 Hf 2.77
Pd  0.1294  0.6294  0.5000  1 Pd 2.72, 6 Hf 2.76-2.82

- formation energy (meV per atom) = -535.0
- excess energy over the best structure of this formula in the dataset (meV per atom) = 45

***

# 9
A relaxed structure of Na3Dy3NbSe8, computed with PBE.

Lattice parameters (Å, degrees): 8.0896 8.0896 21.3635 90.00 90.00 120.00
Last column: nearest neighbours and their distance in Å.
Space group R-3m (No. 166, hexagonal axes)
Symmetry-distinct sites (fractional):
Na  0.0000  0.5000  0.0000  6 Se 3.02-3.03
Dy  0.0000  0.5000  0.5000  6 Se 2.86-2.87
Nb  0.0000  0.0000  0.5000  6 Se 2.69
Se  0.0000  0.0000  0.2438  3 Dy 2.86, 3 Na 3.02
Se  0.0202  0.5101  0.2394  1 Nb 2.69, 2 Dy 2.87

- electronic total energy (eV per atom) = -5.180

***

# 10
A relaxed structure of Sm2Zn3CdAu4, computed with PBE.

Lattice parameters (Å, degrees): 4.1981 4.1981 11.9180 90.00 90.00 90.00
Last column: nearest neighbours and their distance in Å.
Space group P-4m2 (No. 115)
Symmetry-distinct sites (fractional):
Sm  0.0000  0.5000  0.2388  8 Au 3.22-3.54, 4 Zn 3.23
Zn  0.0000  0.5000  0.8675  5 Au 2.52-2.63
Zn  0.5000  0.5000  0.5000  4 Au 2.80, 4 Cd 2.97
Cd  0.0000  0.0000  0.5000  4 Au 2.80, 4 Zn 2.97
Au  0.0000  0.0000  0.0000  4 Zn 2.63
Au  0.0000  0.5000  0.6558  3 Zn 2.52-2.80, 2 Cd 2.80
Au  0.5000  0.5000  0.0000  4 Zn 2.63

- formation energy (meV per atom) = -485.4

***

# 11
A relaxed structure of TlFeIN2, computed with PBE.

Lattice parameters (Å, degrees): 4.0414 4.0414 5.4987 90.00 90.00 90.00
Last column: nearest neighbours and their distance in Å.
Space group P4/mmm (No. 123)
Symmetry-distinct sites (fractional):
Tl  0.0000  0.0000  0.0000  4 I 2.86
Fe  0.5000  0.5000  0.5000  4 N 2.02
I  0.5000  0.5000  0.0000  2 Fe 2.75, 4 Tl 2.86
N  0.0000  0.5000  0.5000  2 Fe 2.02

- excess energy over the best structure of this formula in the dataset (meV per atom) = 0

***

# 12
A relaxed structure of Zr2InHg3, computed with PBE.

Lattice parameters (Å, degrees): 6.0804 6.2715 8.0527 112.24 96.79 105.86
Last column: nearest neighbours and their distance in Å.
Space group P-1 (No. 2)
Symmetry-distinct sites (fractional):
Zr  0.1233  0.3319  0.3595  8 Hg 3.04-3.20, 2 In 3.10-3.14, 2 Zr 3.28-3.31
Zr  0.2398  0.6724  0.9828  8 Hg 3.02-3.19, 2 In 3.10-3.21, 2 Zr 3.23-3.31
In  0.4343  0.3132  0.6841  8 Hg 3.09-3.29, 4 Zr 3.10-3.21
Hg  0.1020  0.8140  0.3534  5 Zr 3.06-3.20, 3 In 3.09-3.15, 4 Hg 3.11-3.32
Hg  0.2099  0.1676  0.9733  4 Hg 3.02-3.22, 6 Zr 3.04-3.19, 2 In 3.13-3.29
Hg  0.4260  0.8223  0.6968  5 Zr 3.02-3.17, 3 In 3.11-3.17, 4 Hg 3.16-3.32

- formation energy (meV per atom) = -103.1

***

| no. | theoretical density (g cm⁻³) | N(E_F) (states/eV per cell) |
| --- | --- | --- |
| 1 | 10.17 | 39.94 |
| 2 | 12.33 | 5.26 |
| 3 | 5.98 | 4.11 |
| 4 | 10.40 | 46.33 |
| 5 | 7.32 | 57.87 |
| 6 | 7.51 | 47.28 |
| 7 | 5.36 | 9.23 |
| 8 | 11.15 | 6.50 |
| 9 | 5.27 | 13.85 |
| 10 | 11.05 | 6.27 |
| 11 | 7.68 | 5.16 |
| 12 | 11.28 | 9.89 |